No. 1
## AcAsO3 (GGA-PBE)

Data for a relaxed AcAsO3 crystal.

Output
Formation energy without anion corrections (eV/atom): -2.388

Unit cell a=7.824 b=6.693 c=9.176 alpha=106.95 beta=90.00 gamma=90.00
Element x y z (fractional)
1 Ac 0.750 0.888 0.481
2 Ac 0.250 0.112 0.019
3 Ac 0.250 0.112 0.519
4 Ac 0.750 0.888 0.981
5 As 0.477 0.676 0.685
6 As 0.023 0.676 0.185
7 As 0.977 0.324 0.815
8 As 0.523 0.324 0.315
9 O 0.436 0.829 0.878
10 O 0.793 0.717 0.195
11 O 0.293 0.283 0.305
12 O 0.564 0.171 0.122
13 O 0.707 0.717 0.695
14 O 0.563 0.136 0.417
15 O 0.207 0.283 0.805
16 O 0.936 0.171 0.622
17 O 0.437 0.864 0.583
18 O 0.064 0.829 0.378
19 O 0.937 0.136 0.917
20 O 0.063 0.864 0.083

---

No. 2
## Ba2InRe (GGA-PBE)

Data for a relaxed Ba2InRe crystal.

Output
E_form (eV/atom): 0.514

Unit cell a=3.808 b=3.808 c=9.533 alpha=90.00 beta=90.00 gamma=90.00
Element x y z (fractional)
1 Ba 0.500 0.500 0.342
2 Ba 0.000 0.000 0.914
3 Re 0.500 0.500 0.667
4 In 0.000 0.000 0.577

---

No. 3
## NaYInPb (GGA-PBE)

Data for a relaxed NaYInPb crystal.

Output
Energy above the most stable polymorph in this dataset (meV per atom): 0
E_form (eV/atom): -0.318

Unit cell a=4.496 b=4.806 c=4.921 alpha=90.00 beta=90.00 gamma=90.00
Element x y z (fractional)
1 Na 0.000 0.500 0.500
2 Y 0.000 0.000 0.000
3 Pb 0.500 0.500 0.000
4 In 0.500 0.000 0.500

---

Respective electronic total energy values: -7.114 -4.244 -3.876 eV/atom.